VASP calculation (PBE) on a relaxed structure of Ce2TaSnN5.

Cell lengths 3.324, 7.316, 10.461 Å; angles 90.00, 90.00, 103.13 degrees
Site moments in Bohr magnetons follow the coordinates.
Fractional coordinates of all 18 atoms:
N: 0.925 0.850 0.548  0.00
Ce: 0.126 0.253 0.718  0.56
N: 0.281 0.562 0.642  -0.02
N: 0.500 0.000 0.277  -0.02
Ce: 0.865 0.729 0.775  0.54
N: 0.367 0.734 0.014  -0.01
N: 0.633 0.266 0.514  -0.01
Ce: 0.874 0.747 0.218  0.56
N: 0.293 0.586 0.371  -0.02
N: 0.707 0.414 0.871  -0.02
Sn: 0.513 0.026 0.975  0.01
N: 0.719 0.438 0.142  -0.02
Ce: 0.135 0.271 0.275  0.54
Ta: 0.771 0.542 0.504  0.07
Ta: 0.229 0.458 0.004  0.07
Sn: 0.487 0.974 0.475  0.01
N: 0.500 0.000 0.777  -0.02
N: 0.075 0.150 0.048  0.00

Computed properties:
- Symmetry: No. 36
- Energy relative to the elements, uncorrected: -921 meV per atom
- Calculated volume: 13.76 A^3/atom


VASP calculation (PBE) on a relaxed structure of Zr2CuRe.

Cell lengths 2.979, 2.979, 8.553 Å; angles 90.00, 90.00, 108.37 degrees
Fractional coordinates of all 4 atoms:
Re: 0.500 0.500 0.750
Zr: 0.000 0.000 0.501
Zr: 0.000 0.000 0.999
Cu: 0.500 0.500 0.250

Computed properties:
- Formation energy: 0.00 eV/atom
- Symmetry: No. 65
- Calculated volume: 18.01 A^3/atom


VASP calculation (PBE) on a relaxed structure of CeGa4Pt2Au.

Cell lengths 4.320, 4.320, 9.503 Å; angles 76.86, 76.86, 60.00 degrees
Site moments in Bohr magnetons follow the coordinates.
Fractional coordinates of all 8 atoms:
Ga: 0.397 0.397 0.809  0.00
Ga: 0.603 0.603 0.191  0.00
Pt: 0.750 0.750 0.749  0.00
Au: 0.500 0.500 0.500  0.00
Ga: 0.877 0.877 0.370  0.00
Pt: 0.250 0.250 0.251  0.00
Ga: 0.123 0.123 0.630  0.00
Ce: 0.000 0.000 0.000  0.52

Computed properties:
- Formation energy: -0.57 eV/atom
- Symmetry: No. 166
- Calculated volume: 18.53 A^3/atom


VASP calculation (PBE) on a relaxed structure of CrSbIr2I.

Cell lengths 4.934, 4.897, 4.934 Å; angles 90.00, 90.00, 90.00 degrees
Site moments in Bohr magnetons follow the coordinates.
Fractional coordinates of all 5 atoms:
Cr: 0.000 0.500 0.000  -3.58
Sb: 0.500 0.500 0.500  0.10
Ir: 0.500 0.000 0.000  -0.14
I: 0.000 0.000 0.000  0.04
Ir: 0.000 0.000 0.500  -0.05

Computed properties:
- Symmetry: No. 123
- Energy relative to the elements, uncorrected: 1557 meV per atom
- Calculated volume: 23.84 A^3/atom


VASP calculation (PBE) on a relaxed structure of KMgTl.

Cell lengths 7.232, 7.231, 3.925 Å; angles 74.26, 74.25, 31.50 degrees
Fractional coordinates of all 3 atoms:
Mg: 0.296 0.296 0.704
K: 0.005 0.005 0.995
Tl: 0.699 0.699 0.301

Computed properties:
- Formation energy: 0.00 eV/atom
- Symmetry: No. 107
- Calculated volume: 34.29 A^3/atom


VASP calculation (PBE) on a relaxed structure of CaHgCl6.

Cell lengths 9.599, 9.189, 7.609 Å; angles 71.25, 69.16, 25.41 degrees
Fractional coordinates of all 8 atoms:
Cl: 0.091 0.072 0.281
Cl: 0.539 0.303 0.226
Hg: 0.000 0.000 0.000
Cl: 0.909 0.928 0.719
Cl: 0.032 0.394 0.428
Cl: 0.968 0.606 0.572
Cl: 0.461 0.697 0.774
Ca: 0.500 0.500 0.500

Computed properties:
- Symmetry: No. 2
- Energy relative to the elements, uncorrected: -1090 meV per atom
- Calculated volume: 33.65 A^3/atom


VASP calculation (PBE) on a relaxed structure of SrNpTl2Br8.

Cell lengths 7.541, 7.260, 9.105 Å; angles 89.98, 90.01, 92.36 degrees
Site moments in Bohr magnetons follow the coordinates.
Fractional coordinates of all 12 atoms:
Br: 0.873 0.226 0.774  -0.03
Br: 0.331 0.247 0.500  -0.01
Tl: 0.500 0.500 0.747  -0.01
Br: 0.684 0.803 0.000  -0.05
Sr: 0.000 0.000 0.500  0.00
Br: 0.127 0.775 0.775  -0.03
Br: 0.316 0.197 0.000  -0.05
Br: 0.669 0.753 0.500  -0.01
Br: 0.127 0.774 0.226  -0.03
Tl: 0.500 0.500 0.253  -0.01
Br: 0.873 0.225 0.225  -0.03
Np: 0.000 0.000 0.000  3.23

Computed properties:
- Symmetry: No. 10
- Energy relative to the elements, uncorrected: -1320 meV per atom
- Calculated volume: 41.50 A^3/atom


VASP calculation (PBE) on a relaxed structure of RbPaCdS4.

Cell lengths 7.696, 8.847, 8.269 Å; angles 117.86, 90.00, 115.78 degrees
Fractional coordinates of all 14 atoms:
Cd: 0.000 0.500 0.500
Rb: 0.162 0.325 0.912
S: 0.696 0.392 0.238
S: 0.284 0.000 0.750
Cd: 0.500 0.500 0.500
S: 0.716 0.000 0.750
Rb: 0.838 0.675 0.088
Pa: 0.500 0.000 0.500
S: 0.304 0.608 0.762
S: 0.696 0.392 0.654
S: 0.284 0.000 0.250
S: 0.716 0.000 0.250
S: 0.304 0.608 0.346
Pa: 0.500 0.000 0.000

Computed properties:
- Symmetry: No. 74
- Energy relative to the elements, uncorrected: -1171 meV per atom
- Calculated volume: 30.96 A^3/atom


VASP calculation (PBE) on a relaxed structure of KAlSN2.

Cell lengths 4.117, 4.117, 4.843 Å; angles 90.00, 90.00, 90.00 degrees
Site moments in Bohr magnetons follow the coordinates.
Fractional coordinates of all 5 atoms:
Al: 0.000 0.000 0.000  -0.03
K: 0.500 0.500 0.500  0.01
S: 0.000 0.000 0.500  0.37
N: 0.500 0.000 0.000  1.11
N: 0.000 0.500 0.000  1.11

Computed properties:
- Symmetry: No. 123
- Energy relative to the elements, uncorrected: 461 meV per atom
- Calculated volume: 16.42 A^3/atom


VASP calculation (PBE) on a relaxed structure of ThSn2Pd8.

Cell lengths 4.180, 6.756, 7.705 Å; angles 109.95, 105.74, 90.00 degrees
Fractional coordinates of all 11 atoms:
Pd: 0.963 0.272 0.927
Pd: 0.679 0.922 0.357
Pd: 0.597 0.462 0.194
Sn: 0.791 0.333 0.581
Pd: 0.403 0.538 0.806
Pd: 0.037 0.728 0.073
Pd: 0.152 0.222 0.305
Pd: 0.321 0.078 0.643
Pd: 0.848 0.778 0.695
Th: 0.500 0.000 0.000
Sn: 0.209 0.667 0.419

Computed properties:
- Formation energy: -0.61 eV/atom
- Symmetry: No. 12
- Calculated volume: 17.80 A^3/atom


| no. | magnetic moment (μB/atom) |
| --- | --- |
| 1 | 0.1393 |
| 2 | 0.0000 |
| 3 | 0.0734 |
| 4 | 0.7716 |
| 5 | 0.0001 |
| 6 | 0.0000 |
| 7 | 0.2500 |
| 8 | 0.0000 |
| 9 | 0.7709 |
| 10 | 0.0000 |